(1)
Entry from Alexandria via LeMat-Bulk: a relaxed structure of LiLaPm (GGA-PBE).

## Properties
DOS at the Fermi energy (states/eV/cell): 6.87
Calculated formation energy (meV per atom): 158.2
Total moment (μB per atom): 0.000
E above lowest polymorph (eV/atom): 0.119

Cell: 5.5214 5.7224 6.3841 Å, 90.00 115.53 90.00°
Closest atoms and distances in Å follow each position.
Element x y z (fractional)
Li (0.0852, 0.2500, 0.1706)  2 Pm 3.20-3.21, 4 La 3.34-3.46, 2 Li 3.47
Li (0.9148, 0.7500, 0.8294)  2 Pm 3.20-3.21, 4 La 3.34-3.46, 2 Li 3.47
La (0.2345, 0.7500, 0.4682)  5 Li 3.34-3.68, 3 Pm 3.44-3.71
La (0.7655, 0.2500, 0.5318)  5 Li 3.34-3.68, 3 Pm 3.44-3.71
Pm (0.4441, 0.2500, 0.8885)  2 Pm 3.14, 2 Li 3.20-3.21, 2 La 3.44-3.45
Pm (0.5559, 0.7500, 0.1115)  2 Pm 3.14, 2 Li 3.20-3.21, 2 La 3.44-3.45


(2)
Entry from Alexandria via LeMat-Bulk: a relaxed structure of LiLa5Pm4 (GGA-PBE).

## Properties
DOS at the Fermi energy (states/eV/cell): 14.86
Calculated formation energy (meV per atom): 31.2
Total moment (μB per atom): 0.000

Cell: 3.7047 3.7047 25.1688 Å, 90.00 90.00 90.00°
Closest atoms and distances in Å follow each position.
Element x y z (fractional)
Li (0.0000, 0.0000, 0.0000)  8 La 3.42, 4 Li 3.70
La (0.5000, 0.5000, 0.0873)  4 Li 3.42, 4 Pm 3.66, 4 La 3.70
La (0.5000, 0.5000, 0.2923)  8 Pm 3.70-3.71, 4 La 3.70
La (0.5000, 0.5000, 0.5000)  8 Pm 3.69, 4 La 3.70
La (0.5000, 0.5000, 0.7077)  8 Pm 3.70-3.71, 4 La 3.70
La (0.5000, 0.5000, 0.9127)  4 Li 3.42, 4 Pm 3.66, 4 La 3.70
Pm (0.0000, 0.0000, 0.1887)  8 La 3.66-3.70, 4 Pm 3.70
Pm (0.0000, 0.0000, 0.3965)  8 La 3.69-3.71, 4 Pm 3.70
Pm (0.0000, 0.0000, 0.6035)  8 La 3.69-3.71, 4 Pm 3.70
Pm (0.0000, 0.0000, 0.8113)  8 La 3.66-3.70, 4 Pm 3.70


(3)
Entry from Alexandria via LeMat-Bulk: a relaxed structure of LiLaPmRe (GGA-PBE).

## Properties
DOS at the Fermi energy (states/eV/cell): 9.49
Calculated formation energy (meV per atom): 156.9
Total moment (μB per atom): 0.000

Cell: 7.1833 7.1833 7.1833 Å, 90.00 90.00 90.00°
Closest atoms and distances in Å follow each position.
Element x y z (fractional)
Li (0.0000, 0.0000, 0.0000)  4 La 3.11, 4 Pm 3.11
Li (0.0000, 0.5000, 0.5000)  4 La 3.11, 4 Pm 3.11
Li (0.5000, 0.0000, 0.5000)  4 La 3.11, 4 Pm 3.11
Li (0.5000, 0.5000, 0.0000)  4 La 3.11, 4 Pm 3.11
La (0.2500, 0.2500, 0.7500)  4 Li 3.11, 4 Re 3.11
La (0.2500, 0.7500, 0.2500)  4 Li 3.11, 4 Re 3.11
La (0.7500, 0.2500, 0.2500)  4 Li 3.11, 4 Re 3.11
La (0.7500, 0.7500, 0.7500)  4 Li 3.11, 4 Re 3.11
Pm (0.2500, 0.2500, 0.2500)  4 Li 3.11, 4 Re 3.11
Pm (0.2500, 0.7500, 0.7500)  4 Re 3.11, 4 Li 3.11
Pm (0.7500, 0.2500, 0.7500)  4 Re 3.11, 4 Li 3.11
Pm (0.7500, 0.7500, 0.2500)  4 Re 3.11, 4 Li 3.11
Re (0.0000, 0.0000, 0.5000)  4 La 3.11, 4 Pm 3.11
Re (0.0000, 0.5000, 0.0000)  4 La 3.11, 4 Pm 3.11
Re (0.5000, 0.0000, 0.0000)  4 La 3.11, 4 Pm 3.11
Re (0.5000, 0.5000, 0.5000)  4 La 3.11, 4 Pm 3.11


(4)
Entry from Alexandria via LeMat-Bulk: a relaxed structure of LiLaPmRh (GGA-PBE).

## Properties
DOS at the Fermi energy (states/eV/cell): 13.24
Calculated formation energy (meV per atom): -341.6
Total moment (μB per atom): 0.000

Cell: 7.2542 7.2542 7.2542 Å, 90.00 90.00 90.00°
Closest atoms and distances in Å follow each position.
Element x y z (fractional)
Li (0.0000, 0.0000, 0.0000)  4 Pm 3.14, 4 La 3.14
Li (0.0000, 0.5000, 0.5000)  4 Pm 3.14, 4 La 3.14
Li (0.5000, 0.0000, 0.5000)  4 Pm 3.14, 4 La 3.14
Li (0.5000, 0.5000, 0.0000)  4 Pm 3.14, 4 La 3.14
La (0.2500, 0.2500, 0.2500)  4 Li 3.14, 4 Rh 3.14
La (0.2500, 0.7500, 0.7500)  4 Li 3.14, 4 Rh 3.14
La (0.7500, 0.2500, 0.7500)  4 Li 3.14, 4 Rh 3.14
La (0.7500, 0.7500, 0.2500)  4 Li 3.14, 4 Rh 3.14
Pm (0.2500, 0.2500, 0.7500)  4 Rh 3.14, 4 Li 3.14
Pm (0.2500, 0.7500, 0.2500)  4 Rh 3.14, 4 Li 3.14
Pm (0.7500, 0.2500, 0.2500)  4 Rh 3.14, 4 Li 3.14
Pm (0.7500, 0.7500, 0.7500)  4 Rh 3.14, 4 Li 3.14
Rh (0.0000, 0.0000, 0.5000)  4 La 3.14, 4 Pm 3.14
Rh (0.0000, 0.5000, 0.0000)  4 La 3.14, 4 Pm 3.14
Rh (0.5000, 0.0000, 0.0000)  4 La 3.14, 4 Pm 3.14
Rh (0.5000, 0.5000, 0.5000)  4 La 3.14, 4 Pm 3.14


(5)
Entry from Alexandria via LeMat-Bulk: a relaxed structure of LiLa3Pm3S8 (GGA-PBE).

## Properties
DOS at the Fermi energy (states/eV/cell): 4.65
Energy relative to the elements, uncorrected (meV per atom): -2028
Total moment (μB per atom): 0.000

Cell: 8.1413 8.1413 8.1413 Å, 59.67 59.67 59.67°
Closest atoms and distances in Å follow each position.
Element x y z (fractional)
Li (0.0000, 0.0000, 0.0000)  6 S 2.78
La (0.0000, 0.0000, 0.5000)  6 S 2.90
La (0.0000, 0.5000, 0.0000)  6 S 2.90
La (0.5000, 0.0000, 0.0000)  6 S 2.90
Pm (0.0000, 0.5000, 0.5000)  6 S 2.84
Pm (0.5000, 0.0000, 0.5000)  6 S 2.84
Pm (0.5000, 0.5000, 0.0000)  6 S 2.84
S (0.2419, 0.2419, 0.7533)  1 Li 2.78, 2 Pm 2.84, 2 La 2.90
S (0.2419, 0.7533, 0.2419)  1 Li 2.78, 2 Pm 2.84, 2 La 2.90
S (0.2467, 0.7581, 0.7581)  1 Li 2.78, 2 Pm 2.84, 2 La 2.90
S (0.2529, 0.2529, 0.2529)  3 Pm 2.84, 3 La 2.90
S (0.7471, 0.7471, 0.7471)  3 Pm 2.84, 3 La 2.90
S (0.7533, 0.2419, 0.2419)  1 Li 2.78, 2 Pm 2.84, 2 La 2.90
S (0.7581, 0.2467, 0.7581)  1 Li 2.78, 2 Pm 2.84, 2 La 2.90
S (0.7581, 0.7581, 0.2467)  1 Li 2.78, 2 Pm 2.84, 2 La 2.90


(6)
Entry from Alexandria via LeMat-Bulk: a relaxed structure of LiLa2Pm3S6 (GGA-PBE).

## Properties
DOS at the Fermi energy (states/eV/cell): 5.17
Energy relative to the elements, uncorrected (meV per atom): -2002
Total moment (μB per atom): 0.000

Cell: 7.0101 7.0101 7.0587 Å, 99.57 99.57 120.13°
Closest atoms and distances in Å follow each position.
Element x y z (fractional)
Li (0.0000, 0.0000, 0.0000)  6 S 2.80-2.81
La (0.3344, 0.6656, 0.0000)  6 S 2.89-2.91
La (0.6656, 0.3344, 0.0000)  6 S 2.89-2.91
Pm (0.1660, 0.8340, 0.5000)  6 S 2.83-2.93
Pm (0.5000, 0.5000, 0.5000)  6 S 2.84-2.94
Pm (0.8340, 0.1660, 0.5000)  6 S 2.83-2.93
S (0.0833, 0.4068, 0.2512)  1 Li 2.81, 3 Pm 2.83-2.93, 2 La 2.90-2.91
S (0.2388, 0.2388, 0.7505)  1 Li 2.80, 3 Pm 2.83-2.94, 2 La 2.89
S (0.4068, 0.0833, 0.2512)  1 Li 2.81, 3 Pm 2.83-2.93, 2 La 2.90-2.91
S (0.5932, 0.9167, 0.7488)  1 Li 2.81, 3 Pm 2.83-2.93, 2 La 2.90-2.91
S (0.7612, 0.7612, 0.2495)  1 Li 2.80, 3 Pm 2.83-2.94, 2 La 2.89
S (0.9167, 0.5932, 0.7488)  1 Li 2.81, 3 Pm 2.83-2.93, 2 La 2.90-2.91


(7)
Entry from Alexandria via LeMat-Bulk: a relaxed structure of LiLaPm2S4 (GGA-PBE).

## Properties
DOS at the Fermi energy (states/eV/cell): 2.62
Energy relative to the elements, uncorrected (meV per atom): -1949
Total moment (μB per atom): 0.000

Cell: 6.9334 4.0401 7.0499 Å, 90.00 109.41 90.00°
Closest atoms and distances in Å follow each position.
Element x y z (fractional)
Li (0.0000, 0.0000, 0.0000)  6 S 2.81-2.83
La (0.5000, 0.5000, 0.0000)  6 S 2.88-2.89
Pm (0.0000, 0.5000, 0.5000)  6 S 2.83
Pm (0.5000, 0.0000, 0.5000)  6 S 2.88-2.90
S (0.2410, 0.0000, 0.7490)  1 Li 2.81, 3 Pm 2.83-2.90, 2 La 2.89
S (0.2438, 0.5000, 0.2484)  3 Pm 2.83-2.88, 2 Li 2.83, 1 La 2.88
S (0.7562, 0.5000, 0.7516)  3 Pm 2.83-2.88, 2 Li 2.83, 1 La 2.88
S (0.7590, 0.0000, 0.2510)  1 Li 2.81, 3 Pm 2.83-2.90, 2 La 2.89


(8)
Entry from Alexandria via LeMat-Bulk: a relaxed structure of Li2LaPmS4 (GGA-PBE).

## Properties
DOS at the Fermi energy (states/eV/cell): 0.00
Energy relative to the elements, uncorrected (meV per atom): -1812
Total moment (μB per atom): 0.000

Cell: 6.6275 4.0948 7.0949 Å, 90.00 110.86 90.00°
Closest atoms and distances in Å follow each position.
Element x y z (fractional)
Li (0.0000, 0.0000, 0.0000)  6 S 2.78-2.79
Li (0.0000, 0.5000, 0.5000)  6 S 2.82-2.83
La (0.5000, 0.0000, 0.5000)  6 S 2.87-2.88
Pm (0.5000, 0.5000, 0.0000)  6 S 2.82-2.83
S (0.2432, 0.5000, 0.2425)  3 Li 2.79-2.83, 1 Pm 2.82, 2 La 2.87
S (0.2443, 0.0000, 0.7532)  3 Li 2.78-2.82, 2 Pm 2.83, 1 La 2.88
S (0.7557, 0.0000, 0.2468)  3 Li 2.78-2.82, 2 Pm 2.83, 1 La 2.88
S (0.7568, 0.5000, 0.7575)  3 Li 2.79-2.83, 1 Pm 2.82, 2 La 2.87


(9)
Entry from Alexandria via LeMat-Bulk: a relaxed structure of LiLa3Pm4S8 (GGA-PBE).

## Properties
DOS at the Fermi energy (states/eV/cell): 10.70
Energy relative to the elements, uncorrected (meV per atom): -2021
Total moment (μB per atom): 0.000

Cell: 8.1552 8.1552 8.1552 Å, 59.70 59.70 59.70°
Closest atoms and distances in Å follow each position.
Element x y z (fractional)
Li (0.0000, 0.0000, 0.0000)  6 S 2.83
La (0.0000, 0.5000, 0.5000)  6 S 2.91
La (0.5000, 0.0000, 0.5000)  6 S 2.91
La (0.5000, 0.5000, 0.0000)  6 S 2.91
Pm (0.0000, 0.0000, 0.5000)  6 S 2.85
Pm (0.0000, 0.5000, 0.0000)  6 S 2.85
Pm (0.5000, 0.0000, 0.0000)  6 S 2.85
Pm (0.5000, 0.5000, 0.5000)  6 S 2.92
S (0.2408, 0.7540, 0.7540)  1 Li 2.83, 3 Pm 2.85-2.92, 2 La 2.91
S (0.2460, 0.2460, 0.7592)  1 Li 2.83, 3 Pm 2.85-2.92, 2 La 2.91
S (0.2460, 0.7592, 0.2460)  1 Li 2.83, 3 Pm 2.85-2.92, 2 La 2.91
S (0.2474, 0.2474, 0.2474)  3 Pm 2.85, 3 La 2.91
S (0.7526, 0.7526, 0.7526)  3 Pm 2.85, 3 La 2.91
S (0.7540, 0.2408, 0.7540)  1 Li 2.83, 3 Pm 2.85-2.92, 2 La 2.91
S (0.7540, 0.7540, 0.2408)  1 Li 2.83, 3 Pm 2.85-2.92, 2 La 2.91
S (0.7592, 0.2460, 0.2460)  1 Li 2.83, 3 Pm 2.85-2.92, 2 La 2.91


(10)
Entry from Alexandria via LeMat-Bulk: a relaxed structure of Li2LaPm2Sb2 (GGA-PBE).

## Properties
DOS at the Fermi energy (states/eV/cell): 5.55
Energy relative to the elements, uncorrected (meV per atom): -635
Total moment (μB per atom): 0.000

Cell: 9.7353 9.7353 9.7353 Å, 28.56 28.56 28.56°
Closest atoms and distances in Å follow each position.
Element x y z (fractional)
Li (0.0897, 0.0897, 0.0897)  3 Sb 2.78
Li (0.9103, 0.9103, 0.9103)  3 Sb 2.78
La (0.5000, 0.5000, 0.5000)  6 Sb 3.42, 6 Li 3.51, 2 Pm 3.66
Pm (0.3692, 0.3692, 0.3692)  3 Li 3.16, 3 Sb 3.24, 3 Pm 3.42
Pm (0.6308, 0.6308, 0.6308)  3 Li 3.16, 3 Sb 3.24, 3 Pm 3.42
Sb (0.2379, 0.2379, 0.2379)  3 Li 2.78
Sb (0.7621, 0.7621, 0.7621)  3 Li 2.78


(11)
Entry from Alexandria via LeMat-Bulk: a relaxed structure of LiLaPmSb (GGA-PBE).

## Properties
DOS at the Fermi energy (states/eV/cell): 14.28
Energy relative to the elements, uncorrected (meV per atom): -520
Total moment (μB per atom): 0.000

Cell: 7.6414 7.6414 7.6414 Å, 90.00 90.00 90.00°
Closest atoms and distances in Å follow each position.
Element x y z (fractional)
Li (0.0000, 0.0000, 0.0000)  4 La 3.31, 4 Pm 3.31
Li (0.0000, 0.5000, 0.5000)  4 La 3.31, 4 Pm 3.31
Li (0.5000, 0.0000, 0.5000)  4 La 3.31, 4 Pm 3.31
Li (0.5000, 0.5000, 0.0000)  4 La 3.31, 4 Pm 3.31
La (0.2500, 0.2500, 0.2500)  4 Li 3.31, 4 Sb 3.31
La (0.2500, 0.7500, 0.7500)  4 Li 3.31, 4 Sb 3.31
La (0.7500, 0.2500, 0.7500)  4 Li 3.31, 4 Sb 3.31
La (0.7500, 0.7500, 0.2500)  4 Li 3.31, 4 Sb 3.31
Pm (0.2500, 0.2500, 0.7500)  4 Li 3.31, 4 Sb 3.31
Pm (0.2500, 0.7500, 0.2500)  4 Li 3.31, 4 Sb 3.31
Pm (0.7500, 0.2500, 0.2500)  4 Li 3.31, 4 Sb 3.31
Pm (0.7500, 0.7500, 0.7500)  4 Sb 3.31, 4 Li 3.31
Sb (0.0000, 0.0000, 0.5000)  4 La 3.31, 4 Pm 3.31
Sb (0.0000, 0.5000, 0.0000)  4 La 3.31, 4 Pm 3.31
Sb (0.5000, 0.0000, 0.0000)  4 La 3.31, 4 Pm 3.31
Sb (0.5000, 0.5000, 0.5000)  4 Pm 3.31, 4 La 3.31


(12)
Entry from Alexandria via LeMat-Bulk: a relaxed structure of Li2La2PmSb2 (GGA-PBE).

## Properties
DOS at the Fermi energy (states/eV/cell): 6.12
Energy relative to the elements, uncorrected (meV per atom): -638
Total moment (μB per atom): 0.000

Cell: 9.8270 9.8270 9.8270 Å, 28.15 28.15 28.15°
Closest atoms and distances in Å follow each position.
Element x y z (fractional)
Li (0.0971, 0.0971, 0.0971)  3 Sb 2.76
Li (0.9029, 0.9029, 0.9029)  3 Sb 2.76
La (0.3686, 0.3686, 0.3686)  3 Li 3.27, 3 Sb 3.32, 3 La 3.41
La (0.6314, 0.6314, 0.6314)  3 Li 3.27, 3 Sb 3.32, 3 La 3.41
Pm (0.5000, 0.5000, 0.5000)  6 Sb 3.34, 6 Li 3.39, 2 La 3.72
Sb (0.2330, 0.2330, 0.2330)  3 Li 2.76
Sb (0.7670, 0.7670, 0.7670)  3 Li 2.76